Record 1
The following is a DFT calculation (PBE) of a relaxed structure of LaZnNi6Ge.

Summary:
final energy	-93.69	eV for the cell shown

Unit cell a=7.487 b=5.219 c=8.197 alpha=108.56 beta=117.17 gamma=90.00
Fractional coordinates of all 18 atoms:
Ni (0.685, 0.406, 0.814)
Ni (0.129, 0.908, 0.814)
Ni (0.315, 0.092, 0.186)
Ni (0.360, 0.110, 0.719)
Ni (0.003, 0.253, 0.006)
Ni (0.129, 0.406, 0.814)
Ni (0.315, 0.594, 0.186)
Ni (0.871, 0.594, 0.186)
Ni (0.997, 0.747, 0.994)
Ni (0.640, 0.890, 0.281)
Ni (0.871, 0.092, 0.186)
Ni (0.685, 0.908, 0.814)
La (0.252, 0.502, 0.504)
La (0.748, 0.498, 0.496)
Zn (0.500, 0.000, 0.500)
Zn (0.000, 0.000, 0.500)
Ge (0.500, 0.000, 0.000)
Ge (0.500, 0.500, 0.000)


Record 2
The following is a DFT calculation (PBE) of a relaxed structure of Ac2HI.

Summary:
final energy	-15.60	eV for the cell shown

Unit cell a=4.056 b=4.056 c=8.791 alpha=76.66 beta=76.66 gamma=60.00
Fractional coordinates of all 4 atoms:
I (0.000, 0.000, 0.000)
H (0.500, 0.500, 0.500)
Ac (0.228, 0.228, 0.317)
Ac (0.772, 0.772, 0.683)


Record 3
The following is a DFT calculation (PBE) of a relaxed structure of NaAlTl3.

Summary:
distance to the lowest polymorph of the same formula	0.4013	eV per atom
final energy	-9.31	eV for the cell shown

Unit cell a=5.554 b=5.554 c=5.554 alpha=90.00 beta=90.00 gamma=90.00
Fractional coordinates of all 5 atoms:
Al (0.500, 0.500, 0.500)
Tl (0.500, 0.000, 0.000)
Tl (0.000, 0.000, 0.500)
Tl (0.000, 0.500, 0.000)
Na (0.000, 0.000, 0.000)


no.,total moment (μB per formula unit)
1,0.00
2,0.00
3,0.00